MnGeO: relaxed, GGA+U.

Computed properties:
**Density of states at the Fermi level**: 0.262 states/eV per atom
**ΔE to the lowest computed polymorph**: 71.0 meV per atom
**SG**: Cmc2_1 (36)
**Magnetic moment**: 4.49 μB per formula unit
**E_tot**: -6.44 eV per atom

Cell lengths 3.0333, 11.7161, 5.0960 Å; angles 90.00, 90.00, 90.00 degrees
Last column: nearest neighbours and their distance in Å.
Positions (direct):
Mn: 0.5000 0.8430 0.8062  3 O 2.14
Mn: 0.5000 0.1570 0.3062  3 O 2.14
Mn: 0.0000 0.6570 0.3062  3 O 2.14
Mn: 0.0000 0.3430 0.8062  3 O 2.14
Ge: 0.5000 0.5682 0.7429  1 O 1.94
Ge: 0.0000 0.0682 0.7429  1 O 1.94
Ge: 0.5000 0.4318 0.2429  1 O 1.94
Ge: 0.0000 0.9318 0.2429  1 O 1.94
O: 0.0000 0.8157 0.5154  1 Ge 1.94, 3 Mn 2.14
O: 0.0000 0.1843 0.0154  1 Ge 1.94, 3 Mn 2.14
O: 0.5000 0.6843 0.0154  1 Ge 1.94, 3 Mn 2.14
O: 0.5000 0.3157 0.5154  1 Ge 1.94, 3 Mn 2.14